[1]
Material: La8HgP3I4
Method: DFT, PBE
State: relaxed

Calculated values
The uncorrected formation energy is -20.016 eV/f.u. For the density of states at the Fermi level, the calculation gives 0.773 states/eV/atom.

a = 8.7317 Å, b = 8.7317 Å, c = 23.4354 Å
α = 90.00°, β = 90.00°, γ = 120.00°
With the nearest neighbours (Å) after each atom.
Space group R-3m (No. 166, hexagonal axes)
Asymmetric unit:
La 0.0000 0.0000 0.2309 [6 per cell]  3 P 2.94
La 0.0181 0.5091 0.7654 [18 per cell]  2 P 2.93, 1 Hg 3.10
Hg 0.0000 0.0000 0.5000 [3 per cell]  6 La 3.10
P 0.0000 0.5000 0.5000 [9 per cell]  6 La 2.93-2.94
I 0.0000 0.0000 0.0000 [3 per cell]  6 La 3.32
I 0.0000 0.5000 0.0000 [9 per cell]  6 La 3.47-3.48


[2]
Material: PHPtCl2
Method: DFT, PBE
State: relaxed

Calculated values
The calculation puts the polymorph energy (0 for the lowest one) at 1.19 eV/f.u. For the density of states at the Fermi level, the calculation gives 0.943 states/eV/atom.

a = 4.8283 Å, b = 4.8283 Å, c = 3.2409 Å
α = 90.00°, β = 90.00°, γ = 90.00°
With the nearest neighbours (Å) after each atom.
Space group P4/mmm (No. 123)
Asymmetric unit:
P 0.0000 0.0000 0.0000 [1 per cell]  2 H 1.62
H 0.0000 0.0000 0.5000 [1 per cell]  2 P 1.62
Pt 0.5000 0.5000 0.0000 [1 per cell]  8 Cl 2.91, 2 Pt 3.24
Cl 0.0000 0.5000 0.5000 [2 per cell]  2 H 2.41


[3]
Material: Cs3Pa3MnS8
Method: DFT, PBE
State: relaxed

Calculated values
The uncorrected formation energy is -20.359 eV/f.u. For the density of states at the Fermi level, the calculation gives 1.326 states/eV/atom.

a = 8.0046 Å, b = 8.0046 Å, c = 24.7767 Å
α = 90.00°, β = 90.00°, γ = 120.00°
With the nearest neighbours (Å) after each atom.
Space group R-3m (No. 166, hexagonal axes)
Asymmetric unit:
Cs 0.0000 0.5000 0.0000 [9 per cell]  6 S 3.47-3.53
Pa 0.0000 0.5000 0.5000 [9 per cell]  6 S 2.75-2.77
Mn 0.0000 0.0000 0.5000 [3 per cell]  6 S 2.68
S 0.0000 0.0000 0.2287 [6 per cell]  3 Pa 2.77
S 0.0080 0.5040 0.2249 [18 per cell]  1 Mn 2.68, 2 Pa 2.75


[4]
Material: Pm2CBr3
Method: DFT, PBE
State: relaxed

Calculated values
The uncorrected formation energy is -8.047 eV/f.u. For the density of states at the Fermi level, the calculation gives 0.358 states/eV/atom.

a = 18.0962 Å, b = 3.9901 Å, c = 14.1350 Å
α = 90.00°, β = 127.02°, γ = 90.00°
With the nearest neighbours (Å) after each atom.
Space group C2/m (No. 12)
Asymmetric unit:
Pm 0.0591 0.0000 0.1913 [4 per cell]  2 C 2.53
Pm 0.1573 0.5000 0.0572 [4 per cell]  2 C 2.49-2.58
C 0.0141 0.5000 0.0560 [4 per cell]  1 C 1.34
Br 0.1046 0.5000 0.3682 [4 per cell]  2 Pm 2.90
Br 0.1385 0.0000 0.8812 [4 per cell]  4 Pm 3.04-3.25
Br 0.2469 0.0000 0.2542 [4 per cell]  3 Pm 2.95-2.99


> Which value of density of states at the Fermi level does entry 2 give?

0.943 states/eV/atom


> The lowest density of states at the Fermi level belongs to which entry?

Pm2CBr3


> Look up the density of states at the Fermi level of the second one.

0.943 states/eV/atom


> What is the formula in the first record?

La8HgP3I4